# 1
# PBE Al2Cu7Au, relaxed
data_Al2Cu7Au
_space_group_name_H-M_alt 'C m m m'
_space_group_IT_number 65
_space_group_name_Hall '-C 2 2'
_cell_length_a 6.5325
_cell_length_b 12.9245
_cell_length_c 4.0012
_cell_angle_alpha 90.00
_cell_angle_beta 90.00
_cell_angle_gamma 90.00
loop_
_atom_site_label
_atom_site_fract_x
_atom_site_fract_y
_atom_site_fract_z
Al1 0.0000 0.2012 0.0000
Cu1 0.0000 0.0000 0.0000
Cu2 0.0000 0.3052 0.5000
Cu3 0.1842 0.3948 0.0000
Au1 0.0000 0.5000 0.5000
# Volume, Å³ per cell: 338
# Mass density, kg/m3: 6840
# ΔH_f (0 K), eV per atom: 0.264
# Total magnetic moment, μB per atom: 0.000

# 2
# PBE Al2CuAu, relaxed
data_Al2CuAu
_space_group_name_H-M_alt 'P 4 m m'
_space_group_IT_number 99
_space_group_name_Hall 'P 4 -2'
_cell_length_a 2.8809
_cell_length_b 2.8809
_cell_length_c 7.4850
_cell_angle_alpha 90.00
_cell_angle_beta 90.00
_cell_angle_gamma 90.00
loop_
_atom_site_label
_atom_site_fract_x
_atom_site_fract_y
_atom_site_fract_z
Al1 0.0000 0.0000 0.0000
Al2 0.5000 0.5000 0.2736
Cu1 0.5000 0.5000 0.7873
Au1 0.0000 0.0000 0.5259
# Volume, Å³ per cell: 62
# Mass density, kg/m3: 8406
# ΔH_f (0 K), eV per atom: -0.124
# Total magnetic moment, μB per atom: 0.000

# 3
# PBE Al7CuAu12, relaxed
data_Al7CuAu12
_space_group_name_H-M_alt 'R -3'
_space_group_IT_number 148
_space_group_name_Hall '-R 3'
_cell_length_a 14.2794
_cell_length_b 14.2794
_cell_length_c 6.3522
_cell_angle_alpha 90.00
_cell_angle_beta 90.00
_cell_angle_gamma 120.00
loop_
_atom_site_label
_atom_site_fract_x
_atom_site_fract_y
_atom_site_fract_z
Al1 0.0000 0.0000 0.0000
Al2 0.1054 0.2115 0.3669
Cu1 0.0000 0.0000 0.5000
Au1 0.0215 0.4161 0.7616
Au2 0.0842 0.1824 0.7826
# Volume, Å³ per cell: 1122
# Mass density, kg/m3: 11618
# ΔH_f (0 K), eV per atom: -0.217
# Total magnetic moment, μB per atom: 0.000

# 4
# PBE AlCu4Au, relaxed
data_AlCu4Au
_space_group_name_H-M_alt 'F -4 3 m'
_space_group_IT_number 216
_space_group_name_Hall 'F -4 2 3'
_cell_length_a 6.8946
_cell_length_b 6.8946
_cell_length_c 6.8946
_cell_angle_alpha 90.00
_cell_angle_beta 90.00
_cell_angle_gamma 90.00
loop_
_atom_site_label
_atom_site_fract_x
_atom_site_fract_y
_atom_site_fract_z
Al1 0.0000 0.0000 0.0000
Cu1 0.1254 0.1254 0.3746
Au1 0.2500 0.2500 0.7500
# Volume, Å³ per cell: 328
# Mass density, kg/m3: 9690
# ΔH_f (0 K), eV per atom: -0.046
# Total magnetic moment, μB per atom: 0.000

# 5
# PBE Al2CuAu, relaxed
data_Al2CuAu
_space_group_name_H-M_alt 'P m m 2'
_space_group_IT_number 25
_space_group_name_Hall 'P 2 -2'
_cell_length_a 2.9412
_cell_length_b 4.5843
_cell_length_c 4.5532
_cell_angle_alpha 90.00
_cell_angle_beta 90.00
_cell_angle_gamma 90.00
loop_
_atom_site_label
_atom_site_fract_x
_atom_site_fract_y
_atom_site_fract_z
Al1 0.0000 0.0000 0.0000
Al2 0.5000 0.5000 0.2020
Cu1 0.5000 0.0000 0.4693
Au1 0.0000 0.5000 0.7041
# Volume, Å³ per cell: 61
# Mass density, kg/m3: 8506
# ΔH_f (0 K), eV per atom: -0.217
# Total magnetic moment, μB per atom: 0.000

# 6
# PBE AlCu2Au3, relaxed
data_AlCu2Au3
_space_group_name_H-M_alt 'C m m m'
_space_group_IT_number 65
_space_group_name_Hall '-C 2 2'
_cell_length_a 4.2526
_cell_length_b 13.1343
_cell_length_c 6.6558
_cell_angle_alpha 90.00
_cell_angle_beta 90.00
_cell_angle_gamma 90.00
loop_
_atom_site_label
_atom_site_fract_x
_atom_site_fract_y
_atom_site_fract_z
Al1 0.0000 0.1568 0.0000
Cu1 0.0000 0.1695 0.5000
Cu2 0.0000 0.5000 0.0000
Cu3 0.0000 0.5000 0.5000
Au1 0.0000 0.0000 0.2587
Au2 0.0000 0.3313 0.2437
# Volume, Å³ per cell: 372
# Mass density, kg/m3: 13310
# ΔH_f (0 K), eV per atom: -0.176
# Total magnetic moment, μB per atom: 0.000

# 7
# PBE Al4Cu9Au11, relaxed
data_Al4Cu9Au11
_space_group_name_H-M_alt 'C m m m'
_space_group_IT_number 65
_space_group_name_Hall '-C 2 2'
_cell_length_a 13.5099
_cell_length_b 17.7791
_cell_length_c 3.0871
_cell_angle_alpha 90.00
_cell_angle_beta 90.00
_cell_angle_gamma 90.00
loop_
_atom_site_label
_atom_site_fract_x
_atom_site_fract_y
_atom_site_fract_z
Al1 0.1579 0.0807 0.0000
Cu1 0.0000 0.0000 0.0000
Cu2 0.1004 0.4038 0.0000
Cu3 0.1208 0.2253 0.0000
Au1 0.0000 0.1286 0.5000
Au2 0.0000 0.3056 0.5000
Au3 0.0000 0.5000 0.5000
Au4 0.2166 0.5000 0.5000
Au5 0.2297 0.3292 0.5000
# Volume, Å³ per cell: 742
# Mass density, kg/m3: 12749
# ΔH_f (0 K), eV per atom: -0.142
# Total magnetic moment, μB per atom: 0.000

# 8
# PBE AlCu4Au3, relaxed
data_AlCu4Au3
_space_group_name_H-M_alt 'C 1 2/m 1'
_space_group_IT_number 12
_space_group_name_Hall '-C 2y'
_cell_length_a 16.6332
_cell_length_b 3.5813
_cell_length_c 4.0427
_cell_angle_alpha 90.00
_cell_angle_beta 103.59
_cell_angle_gamma 90.00
loop_
_atom_site_label
_atom_site_fract_x
_atom_site_fract_y
_atom_site_fract_z
Al1 0.0000 0.0000 0.0000
Cu1 0.1329 0.0000 0.6331
Cu2 0.2459 0.5000 0.7465
Au1 0.0000 0.5000 0.5000
Au2 0.1308 0.5000 0.1317
# Volume, Å³ per cell: 234
# Mass density, kg/m3: 12373
# ΔH_f (0 K), eV per atom: -0.135
# Total magnetic moment, μB per atom: 0.000

# 9
# PBE AlCuAu2, relaxed
data_AlCuAu2
_space_group_name_H-M_alt 'P 1 m 1'
_space_group_IT_number 6
_space_group_name_Hall 'P -2y'
_cell_length_a 2.9136
_cell_length_b 4.2649
_cell_length_c 5.2988
_cell_angle_alpha 90.00
_cell_angle_beta 105.89
_cell_angle_gamma 90.00
loop_
_atom_site_label
_atom_site_fract_x
_atom_site_fract_y
_atom_site_fract_z
Al1 0.0000 0.0000 0.0000
Cu1 0.8501 0.5000 0.7167
Au1 0.2656 0.0000 0.5427
Au2 0.5924 0.5000 0.1818
# Volume, Å³ per cell: 63
# Mass density, kg/m3: 12703
# ΔH_f (0 K), eV per atom: -0.212
# Total magnetic moment, μB per atom: 0.000

# 10
# PBE Al3Cu2Au4, relaxed
data_Al3Cu2Au4
_space_group_name_H-M_alt 'C 1 2/c 1'
_space_group_IT_number 15
_space_group_name_Hall '-C 2yc'
_cell_length_a 13.5375
_cell_length_b 9.3015
_cell_length_c 4.6704
_cell_angle_alpha 90.00
_cell_angle_beta 101.68
_cell_angle_gamma 90.00
loop_
_atom_site_label
_atom_site_fract_x
_atom_site_fract_y
_atom_site_fract_z
Al1 0.0000 0.1414 0.2500
Al2 0.1880 0.3705 0.0549
Cu1 0.2103 0.1356 0.3785
Au1 0.0859 0.3907 0.4895
Au2 0.1092 0.1176 0.8231
# Volume, Å³ per cell: 576
# Mass density, kg/m3: 11486
# ΔH_f (0 K), eV per atom: -0.261
# Total magnetic moment, μB per atom: 0.000

# 11
# PBE Al2Cu6Au, relaxed
data_Al2Cu6Au
_space_group_name_H-M_alt 'P -1'
_space_group_IT_number 2
_space_group_name_Hall '-P 1'
_cell_length_a 4.4977
_cell_length_b 4.6466
_cell_length_c 6.0562
_cell_angle_alpha 83.08
_cell_angle_beta 74.42
_cell_angle_gamma 77.97
loop_
_atom_site_label
_atom_site_fract_x
_atom_site_fract_y
_atom_site_fract_z
Al1 0.0582 0.1223 0.2602
Cu1 0.1635 0.3400 0.8394
Cu2 0.2661 0.5661 0.3831
Cu3 0.3910 0.7723 0.9531
Au1 0.5000 0.0000 0.5000
# Volume, Å³ per cell: 119
# Mass density, kg/m3: 8825
# ΔH_f (0 K), eV per atom: -0.166
# Total magnetic moment, μB per atom: 0.000

# 12
# PBE AlCuAu6, relaxed
data_AlCuAu6
_space_group_name_H-M_alt 'C m m m'
_space_group_IT_number 65
_space_group_name_Hall '-C 2 2'
_cell_length_a 7.9428
_cell_length_b 7.9719
_cell_length_c 4.3276
_cell_angle_alpha 90.00
_cell_angle_beta 90.00
_cell_angle_gamma 90.00
loop_
_atom_site_label
_atom_site_fract_x
_atom_site_fract_y
_atom_site_fract_z
Al1 0.0000 0.0000 0.0000
Cu1 0.0000 0.5000 0.0000
Au1 0.0000 0.3070 0.5000
Au2 0.1947 0.0000 0.5000
Au3 0.2500 0.2500 0.0000
# Volume, Å³ per cell: 274
# Mass density, kg/m3: 15421
# ΔH_f (0 K), eV per atom: -0.116
# Total magnetic moment, μB per atom: 0.000

# 13
# PBE AlCu7Au4, relaxed
data_AlCu7Au4
_space_group_name_H-M_alt 'P -1'
_space_group_IT_number 2
_space_group_name_Hall '-P 1'
_cell_length_a 4.9182
_cell_length_b 5.1224
_cell_length_c 7.3476
_cell_angle_alpha 82.66
_cell_angle_beta 86.23
_cell_angle_gamma 82.37
loop_
_atom_site_label
_atom_site_fract_x
_atom_site_fract_y
_atom_site_fract_z
Al1 0.0000 0.0000 0.0000
Cu1 0.1322 0.3009 0.4361
Cu2 0.2339 0.8455 0.3077
Cu3 0.3165 0.4627 0.1204
Cu4 0.5000 0.0000 0.0000
Au1 0.2055 0.3796 0.7876
Au2 0.3400 0.8746 0.6584
# Volume, Å³ per cell: 182
# Mass density, kg/m3: 11509
# ΔH_f (0 K), eV per atom: 0.015
# Total magnetic moment, μB per atom: 0.000

# 14
# PBE Al2Cu4Au, relaxed
data_Al2Cu4Au
_space_group_name_H-M_alt 'I 4/m m m'
_space_group_IT_number 139
_space_group_name_Hall '-I 4 2'
_cell_length_a 3.4061
_cell_length_b 3.4061
_cell_length_c 17.5318
_cell_angle_alpha 90.00
_cell_angle_beta 90.00
_cell_angle_gamma 90.00
loop_
_atom_site_label
_atom_site_fract_x
_atom_site_fract_y
_atom_site_fract_z
Al1 0.0000 0.0000 0.0980
Cu1 0.0000 0.0000 0.3541
Cu2 0.0000 0.5000 0.2500
Au1 0.0000 0.0000 0.5000
# Volume, Å³ per cell: 203
# Mass density, kg/m3: 8248
# ΔH_f (0 K), eV per atom: -0.001
# Total magnetic moment, μB per atom: 0.000

# 15
# PBE Al2Cu3Au4, relaxed
data_Al2Cu3Au4
_space_group_name_H-M_alt 'C 1 2/m 1'
_space_group_IT_number 12
_space_group_name_Hall '-C 2y'
_cell_length_a 12.2537
_cell_length_b 3.9276
_cell_length_c 6.1192
_cell_angle_alpha 90.00
_cell_angle_beta 109.27
_cell_angle_gamma 90.00
loop_
_atom_site_label
_atom_site_fract_x
_atom_site_fract_y
_atom_site_fract_z
Al1 0.1536 0.0000 0.4905
Cu1 0.0000 0.5000 0.5000
Cu2 0.1071 0.5000 0.1656
Au1 0.0521 0.0000 0.8231
Au2 0.2276 0.5000 0.7918
# Volume, Å³ per cell: 278
# Mass density, kg/m3: 12334
# ΔH_f (0 K), eV per atom: -0.209
# Total magnetic moment, μB per atom: 0.000

# 16
# PBE AlCuAu2, relaxed
data_AlCuAu2
_space_group_name_H-M_alt 'C 1 m 1'
_space_group_IT_number 8
_space_group_name_Hall 'C -2y'
_cell_length_a 9.4676
_cell_length_b 3.0463
_cell_length_c 4.5648
_cell_angle_alpha 90.00
_cell_angle_beta 107.39
_cell_angle_gamma 90.00
loop_
_atom_site_label
_atom_site_fract_x
_atom_site_fract_y
_atom_site_fract_z
Al1 0.0000 0.0000 0.0000
Cu1 0.2785 0.0000 0.7007
Au1 0.0246 0.5000 0.5192
Au2 0.2456 0.5000 0.1748
# Volume, Å³ per cell: 126
# Mass density, kg/m3: 12806
# ΔH_f (0 K), eV per atom: -0.241
# Total magnetic moment, μB per atom: 0.000

# 17
# PBE AlCuAu5, relaxed
data_AlCuAu5
_space_group_name_H-M_alt 'C m c m'
_space_group_IT_number 63
_space_group_name_Hall '-C 2c 2'
_cell_length_a 7.3057
_cell_length_b 6.2051
_cell_length_c 10.8101
_cell_angle_alpha 90.00
_cell_angle_beta 90.00
_cell_angle_gamma 90.00
loop_
_atom_site_label
_atom_site_fract_x
_atom_site_fract_y
_atom_site_fract_z
Al1 0.0000 0.0000 0.0000
Cu1 0.0000 0.3621 0.2500
Au1 0.0000 0.0548 0.7500
Au2 0.1993 0.3632 0.6103
# Volume, Å³ per cell: 490
# Mass density, kg/m3: 14576
# ΔH_f (0 K), eV per atom: -0.108
# Total magnetic moment, μB per atom: 0.000

# 18
# PBE AlCu5Au8, relaxed
data_AlCu5Au8
_space_group_name_H-M_alt 'I -4'
_space_group_IT_number 82
_space_group_name_Hall 'I -4'
_cell_length_a 7.7538
_cell_length_b 7.7538
_cell_length_c 7.7403
_cell_angle_alpha 90.00
_cell_angle_beta 90.00
_cell_angle_gamma 90.00
loop_
_atom_site_label
_atom_site_fract_x
_atom_site_fract_y
_atom_site_fract_z
Al1 0.0000 0.0000 0.0000
Cu1 0.0000 0.5000 0.7500
Cu2 0.1246 0.2552 0.3702
Au1 0.0787 0.1691 0.7011
Au2 0.0817 0.3284 0.0393
# Volume, Å³ per cell: 465
# Mass density, kg/m3: 13706
# ΔH_f (0 K), eV per atom: 0.007
# Total magnetic moment, μB per atom: 0.000

# 19
# PBE Al2Cu3Au2, relaxed
data_Al2Cu3Au2
_space_group_name_H-M_alt 'C 1 2 1'
_space_group_IT_number 5
_space_group_name_Hall 'C 2y'
_cell_length_a 9.7087
_cell_length_b 8.5304
_cell_length_c 7.0299
_cell_angle_alpha 90.00
_cell_angle_beta 133.29
_cell_angle_gamma 90.00
loop_
_atom_site_label
_atom_site_fract_x
_atom_site_fract_y
_atom_site_fract_z
Al1 0.0439 0.0000 0.3187
Al2 0.0480 0.4688 0.3438
Cu1 0.0000 0.2040 0.0000
Cu2 0.0000 0.2358 0.5000
Cu3 0.2006 0.9249 0.1555
Cu4 0.2297 0.7384 0.4814
Au1 0.1435 0.7274 0.7871
Au2 0.2047 0.5283 0.1626
# Volume, Å³ per cell: 424
# Mass density, kg/m3: 10008
# ΔH_f (0 K), eV per atom: -0.164
# Total magnetic moment, μB per atom: 0.000

# 20
# PBE Al2CuAu, relaxed
data_Al2CuAu
_space_group_name_H-M_alt 'I -4 m 2'
_space_group_IT_number 119
_space_group_name_Hall 'I -4 -2'
_cell_length_a 3.8850
_cell_length_b 3.8850
_cell_length_c 8.0778
_cell_angle_alpha 90.00
_cell_angle_beta 90.00
_cell_angle_gamma 90.00
loop_
_atom_site_label
_atom_site_fract_x
_atom_site_fract_y
_atom_site_fract_z
Al1 0.0000 0.0000 0.0000
Al2 0.0000 0.5000 0.2500
Cu1 0.0000 0.0000 0.5000
Au1 0.0000 0.5000 0.7500
# Volume, Å³ per cell: 122
# Mass density, kg/m3: 8566
# ΔH_f (0 K), eV per atom: -0.190
# Total magnetic moment, μB per atom: 0.000